DFT (PBE) results for crystalline GePbSe2O8 at its relaxed geometry.

Lattice parameters (Å, degrees): 5.8323 5.8869 7.3063 56.28 66.48 60.31
Element x y z (fractional)
O 0.3338 0.4356 0.8968
O 0.8808 0.5222 0.7163
O 0.1375 0.0104 0.2593
O 0.8625 0.9896 0.7407
O 0.4072 0.9896 0.7407
O 0.6662 0.5644 0.1032
O 0.1192 0.4778 0.2837
O 0.5928 0.0104 0.2593
Pb 0.5000 0.5000 0.5000
Se 0.7070 0.7581 0.8278
Se 0.2930 0.2419 0.1722
Ge 0.0000 0.0000 0.0000

Computed properties:
formation energy without anion corrections	-777	meV/atom
N(E_F)	0.000	states/eV/f.u.
crystal system	monoclinic
theoretical density	5.3	g/cm³

=====

DFT (PBE) results for crystalline GePb2SeO at its relaxed geometry.

Lattice parameters (Å, degrees): 5.2698 4.2759 5.2698 90.00 90.00 90.00
Element x y z (fractional)
Ge 0.0000 0.5000 0.0000
O 0.0000 0.0000 0.0000
Pb 0.5000 0.0000 0.0000
Pb 0.0000 0.0000 0.5000
Se 0.5000 0.5000 0.5000

Computed properties:
formation energy without anion corrections	-237	meV/atom
N(E_F)	3.115	states/eV/f.u.
crystal system	tetragonal
theoretical density	8.1	g/cm³

=====

DFT (PBE) results for crystalline GePbSe2O at its relaxed geometry.

Lattice parameters (Å, degrees): 4.6838 4.8483 4.6838 90.00 90.00 90.00
Element x y z (fractional)
O 0.0000 0.0000 0.0000
Ge 0.5000 0.5000 0.5000
Pb 0.0000 0.5000 0.0000
Se 0.0000 0.0000 0.5000
Se 0.5000 0.0000 0.0000

Computed properties:
formation energy without anion corrections	201	meV/atom
N(E_F)	3.375	states/eV/f.u.
crystal system	tetragonal
theoretical density	7.1	g/cm³

=====

DFT (PBE) results for crystalline GePb2Se4O12 at its relaxed geometry.

Lattice parameters (Å, degrees): 6.8450 9.2075 9.4938 83.30 90.00 90.00
Element x y z (fractional)
O 0.4312 0.3705 0.4531
O 0.3031 0.8761 0.1051
O 0.6874 0.3187 0.1876
O 0.8031 0.1239 0.3949
O 0.0688 0.3705 0.9531
O 0.3837 0.9707 0.8223
O 0.1163 0.9707 0.3223
O 0.6163 0.0293 0.1777
O 0.3126 0.6813 0.8124
O 0.5688 0.6295 0.5469
O 0.1307 0.3538 0.2771
O 0.8837 0.0293 0.6777
O 0.6603 0.8300 0.9846
O 0.8126 0.3187 0.6876
O 0.3397 0.1700 0.0154
O 0.6307 0.6462 0.2229
O 0.9312 0.6295 0.0469
O 0.8397 0.8300 0.4846
O 0.6969 0.1239 0.8949
O 0.8693 0.6462 0.7229
O 0.1603 0.1700 0.5154
O 0.1969 0.8761 0.6051
O 0.3693 0.3538 0.7771
O 0.1874 0.6813 0.3124
Pb 0.7461 0.4561 0.9018
Pb 0.2461 0.5439 0.5982
Pb 0.2539 0.5439 0.0982
Pb 0.7539 0.4561 0.4018
Se 0.6933 0.1556 0.7073
Se 0.3067 0.8444 0.2927
Se 0.8067 0.1556 0.2073
Se 0.1983 0.2427 0.8681
Se 0.8017 0.7573 0.1319
Se 0.1933 0.8444 0.7927
Se 0.6983 0.7573 0.6319
Se 0.3017 0.2427 0.3681
Ge 0.5000 0.0000 0.0000
Ge 0.0000 0.0000 0.5000

Computed properties:
formation energy without anion corrections	-1041	meV/atom
N(E_F)	0.000	states/eV/f.u.
crystal system	monoclinic
theoretical density	5.6	g/cm³

=====

DFT (PBE) results for crystalline Ge2PbSeO at its relaxed geometry.

Lattice parameters (Å, degrees): 5.3576 3.8086 5.3576 90.00 90.00 90.00
Element x y z (fractional)
Se 0.0000 0.0000 0.0000
O 0.0000 0.5000 0.0000
Ge 0.0000 0.0000 0.5000
Ge 0.5000 0.0000 0.0000
Pb 0.5000 0.5000 0.5000

Computed properties:
formation energy without anion corrections	181	meV/atom
N(E_F)	2.102	states/eV/f.u.
crystal system	tetragonal
theoretical density	6.8	g/cm³

=====

DFT (PBE) results for crystalline Si2GePbO8 at its relaxed geometry.

Lattice parameters (Å, degrees): 5.0860 5.0860 7.0654 90.00 90.00 120.00
Each line ends with the local moment (μB).
Element x y z (fractional)
Si 0.6667 0.3333 0.2798  -0.01
Si 0.3333 0.6667 0.7202  -0.01
O 0.6667 0.3333 0.0441  0.48
O 0.9266 0.6758 0.3387  0.14
O 0.2508 0.9266 0.6613  0.14
O 0.3242 0.2508 0.3387  0.14
O 0.0734 0.3242 0.6613  0.14
O 0.6758 0.7492 0.6613  0.14
O 0.7492 0.0734 0.3387  0.14
O 0.3333 0.6667 0.9559  0.48
Pb 0.0000 0.0000 0.0000  -0.01
Ge 0.0000 0.0000 0.5000  -0.01

Computed properties:
formation energy without anion corrections	-1737	meV/atom
N(E_F)	6.568	states/eV/f.u.
crystal system	trigonal
theoretical density	4.9	g/cm³

=====

DFT (PBE) results for crystalline SnGe2PbO8 at its relaxed geometry.

Lattice parameters (Å, degrees): 5.3786 5.3786 7.1391 90.00 90.00 120.00
Each line ends with the local moment (μB).
Element x y z (fractional)
Pb 0.0000 0.0000 0.0000  0.02
O 0.7341 0.0526 0.3157  0.08
O 0.2659 0.9474 0.6843  0.08
O 0.3333 0.6667 0.9897  0.62
O 0.3186 0.2659 0.3157  0.08
O 0.0526 0.3186 0.6843  0.08
O 0.6667 0.3333 0.0103  0.62
O 0.6814 0.7341 0.6843  0.08
O 0.9474 0.6814 0.3157  0.08
Ge 0.6667 0.3333 0.2650  -0.02
Ge 0.3333 0.6667 0.7350  -0.02
Sn 0.0000 0.0000 0.5000  -0.01

Computed properties:
formation energy without anion corrections	-1153	meV/atom
N(E_F)	7.754	states/eV/f.u.
crystal system	trigonal
theoretical density	5.6	g/cm³

=====

DFT (PBE) results for crystalline TaGePbO5 at its relaxed geometry.

Lattice parameters (Å, degrees): 5.9740 5.9740 7.7297 105.61 105.61 105.73
Element x y z (fractional)
O 0.3568 0.2422 0.1052
O 0.2422 0.3568 0.6052
O 0.7578 0.6432 0.3948
O 0.2898 0.8860 0.5936
O 0.8860 0.2898 0.0936
O 0.7102 0.1140 0.4064
O 0.6432 0.7578 0.8948
O 0.9493 0.0507 0.7500
O 0.0507 0.9493 0.2500
O 0.1140 0.7102 0.9064
Ge 0.3132 0.6868 0.7500
Ge 0.6868 0.3132 0.2500
Ta 0.0000 0.0000 0.5000
Ta 0.0000 0.0000 0.0000
Pb 0.6791 0.3209 0.7500
Pb 0.3209 0.6791 0.2500

Computed properties:
formation energy without anion corrections	-1910	meV/atom
N(E_F)	1.771	states/eV/f.u.
crystal system	monoclinic
theoretical density	7.6	g/cm³

=====

DFT (PBE) results for crystalline TaGe2PbO8 at its relaxed geometry.

Lattice parameters (Å, degrees): 4.9233 4.9233 8.5360 73.24 73.24 60.00
Each line ends with the local moment (μB).
Element x y z (fractional)
O 0.6843 0.6843 0.9471  0.18
O 0.7578 0.4524 0.6579  0.10
O 0.8680 0.5476 0.3421  0.10
O 0.2422 0.8680 0.3421  0.10
O 0.3157 0.3157 0.0529  0.18
O 0.5476 0.2422 0.3421  0.10
O 0.1320 0.7578 0.6579  0.10
O 0.4524 0.1320 0.6579  0.10
Ge 0.7565 0.7565 0.7304  -0.01
Ge 0.2434 0.2434 0.2696  -0.01
Ta 0.5000 0.5000 0.5000  -0.03
Pb 0.0000 0.0000 0.0000  0.01

Computed properties:
formation energy without anion corrections	-1616	meV/atom
N(E_F)	7.364	states/eV/f.u.
crystal system	trigonal
theoretical density	6.5	g/cm³

=====

DFT (PBE) results for crystalline Tb2GePbO6 at its relaxed geometry.

Lattice parameters (Å, degrees): 5.4909 5.3733 5.3733 90.00 90.00 90.00
Element x y z (fractional)
Ge 0.6134 0.0000 0.0000
O 0.7482 0.7718 0.7718
O 0.0912 0.5000 0.5000
O 0.2870 0.0000 0.0000
O 0.7482 0.2282 0.7718
O 0.7482 0.2282 0.2282
O 0.7482 0.7718 0.2282
Tb 0.9714 0.0000 0.5000
Tb 0.9714 0.5000 0.0000
Pb 0.5197 0.5000 0.5000

Computed properties:
formation energy without anion corrections	-2227	meV/atom
N(E_F)	0.000	states/eV/f.u.
crystal system	tetragonal
theoretical density	7.3	g/cm³

=====

DFT (PBE) results for crystalline TcGePb2O at its relaxed geometry.

Lattice parameters (Å, degrees): 5.5235 4.7099 5.5235 90.00 90.00 90.00
Each line ends with the local moment (μB).
Element x y z (fractional)
Ge 0.0000 0.0000 0.0000  -0.04
Tc 0.0000 0.5000 0.0000  2.19
O 0.5000 0.5000 0.5000  0.60
Pb 0.0000 0.0000 0.5000  -0.04
Pb 0.5000 0.0000 0.0000  -0.08

Computed properties:
formation energy without anion corrections	1162	meV/atom
N(E_F)	4.762	states/eV/f.u.
crystal system	tetragonal
theoretical density	6.9	g/cm³

=====

DFT (PBE) results for crystalline TcGePbO6 at its relaxed geometry.

Lattice parameters (Å, degrees): 5.1836 5.1836 10.6115 90.00 90.00 120.00
Each line ends with the local moment (μB).
Element x y z (fractional)
Pb 0.0000 0.0000 0.5000  0.00
Pb 0.0000 0.0000 0.0000  0.00
O 0.9978 0.6073 0.3520  0.02
O 0.0022 0.6096 0.8520  0.02
O 0.6096 0.0022 0.3520  0.02
O 0.0022 0.3927 0.6480  0.02
O 0.9978 0.3904 0.1480  0.02
O 0.3904 0.3927 0.8520  0.02
O 0.6073 0.6096 0.6480  0.02
O 0.6073 0.9978 0.8520  0.02
O 0.3904 0.9978 0.6480  0.02
O 0.6096 0.6073 0.1480  0.02
O 0.3927 0.0022 0.1480  0.02
O 0.3927 0.3904 0.3520  0.02
Ge 0.6667 0.3333 0.2500  0.04
Ge 0.3333 0.6667 0.7500  0.04
Tc 0.3333 0.6667 0.2500  0.74
Tc 0.6667 0.3333 0.7500  0.74

Computed properties:
formation energy without anion corrections	-1379	meV/atom
N(E_F)	1.693	states/eV/f.u.
crystal system	trigonal
theoretical density	6.4	g/cm³

=====

DFT (PBE) results for crystalline TiGe2PbO at its relaxed geometry.

Lattice parameters (Å, degrees): 5.3345 5.3271 5.3345 90.00 90.00 90.00
Element x y z (fractional)
Pb 0.0000 0.0000 0.0000
Ge 0.0000 0.0000 0.5000
Ge 0.5000 0.0000 0.0000
Ti 0.0000 0.5000 0.0000
O 0.5000 0.5000 0.5000

Computed properties:
formation energy without anion corrections	1585	meV/atom
N(E_F)	9.047	states/eV/f.u.
crystal system	tetragonal
theoretical density	4.6	g/cm³

=====

DFT (PBE) results for crystalline TiGePbO5 at its relaxed geometry.

Lattice parameters (Å, degrees): 5.7779 5.7779 7.3508 104.30 104.30 105.89
Element x y z (fractional)
O 0.2998 0.8891 0.6041
O 0.8891 0.2998 0.1041
O 0.9426 0.0574 0.7500
O 0.3676 0.2317 0.0873
O 0.6324 0.7683 0.9127
O 0.2317 0.3676 0.5873
O 0.7683 0.6324 0.4127
O 0.0574 0.9426 0.2500
O 0.1109 0.7002 0.8959
O 0.7002 0.1109 0.3959
Ti 0.0000 0.0000 0.5000
Ti 0.0000 0.0000 0.0000
Pb 0.6785 0.3215 0.7500
Pb 0.3215 0.6785 0.2500
Ge 0.6840 0.3160 0.2500
Ge 0.3160 0.6840 0.7500

Computed properties:
formation energy without anion corrections	-2071	meV/atom
N(E_F)	0.000	states/eV/f.u.
crystal system	monoclinic
theoretical density	6.3	g/cm³

=====

DFT (PBE) results for crystalline TlGe2PbO6 at its relaxed geometry.

Lattice parameters (Å, degrees): 5.6393 7.6509 7.6509 87.78 81.33 81.33
Each line ends with the local moment (μB).
Element x y z (fractional)
O 0.5296 0.3767 0.3005  0.02
O 0.3188 0.2200 0.0272  0.05
O 0.8188 0.0272 0.2200  0.05
O 0.1812 0.9728 0.7800  0.05
O 0.6464 0.1480 0.5897  0.14
O 0.0296 0.3005 0.3767  0.02
O 0.1464 0.5897 0.1480  0.14
O 0.6812 0.7800 0.9728  0.05
O 0.8536 0.4103 0.8520  0.14
O 0.3536 0.8520 0.4103  0.14
O 0.4704 0.6233 0.6995  0.02
O 0.9704 0.6995 0.6233  0.02
Tl 0.2500 0.3035 0.6965  0.23
Tl 0.7500 0.6965 0.3035  0.23
Ge 0.2442 0.7980 0.6297  0.00
Ge 0.7558 0.2020 0.3703  0.00
Ge 0.2558 0.3703 0.2020  0.00
Ge 0.7442 0.6297 0.7980  0.00
Pb 0.7500 0.1076 0.8924  0.01
Pb 0.2500 0.8924 0.1076  0.01

Computed properties:
formation energy without anion corrections	-1285	meV/atom
N(E_F)	3.025	states/eV/f.u.
crystal system	monoclinic
theoretical density	6.7	g/cm³

=====

DFT (PBE) results for crystalline UGePbO5 at its relaxed geometry.

Lattice parameters (Å, degrees): 6.1125 6.1125 8.0019 103.54 103.54 107.14
Each line ends with the local moment (μB).
Element x y z (fractional)
Pb 0.3261 0.6739 0.2500  0.02
Pb 0.6739 0.3261 0.7500  0.02
O 0.2496 0.3867 0.5947  -0.01
O 0.3172 0.8894 0.6242  -0.01
O 0.6133 0.7504 0.9053  -0.01
O 0.7504 0.6133 0.4053  -0.01
O 0.6828 0.1106 0.3758  -0.01
O 0.1106 0.6828 0.8758  -0.01
O 0.0806 0.9194 0.2500  -0.05
O 0.3867 0.2496 0.0947  -0.01
O 0.8894 0.3172 0.1242  -0.01
O 0.9194 0.0806 0.7500  -0.05
Ge 0.3199 0.6801 0.7500  0.02
Ge 0.6801 0.3199 0.2500  0.02
U 0.0000 0.0000 0.0000  1.84
U 0.0000 0.0000 0.5000  1.84

Computed properties:
formation energy without anion corrections	-2101	meV/atom
N(E_F)	5.330	states/eV/f.u.
crystal system	monoclinic
theoretical density	7.6	g/cm³

=====

DFT (PBE) results for crystalline UGe2PbO8 at its relaxed geometry.

Lattice parameters (Å, degrees): 5.0295 5.0295 8.9965 73.77 73.77 60.00
Element x y z (fractional)
O 0.8835 0.5302 0.3400
O 0.1165 0.7538 0.6600
O 0.3156 0.3156 0.0533
O 0.4698 0.1165 0.6600
O 0.6844 0.6844 0.9467
O 0.7538 0.4698 0.6600
O 0.5302 0.2462 0.3400
O 0.2462 0.8835 0.3400
U 0.5000 0.5000 0.5000
Ge 0.2482 0.2482 0.2555
Ge 0.7518 0.7518 0.7445
Pb 0.0000 0.0000 0.0000

Computed properties:
formation energy without anion corrections	-1835	meV/atom
crystal system	trigonal
theoretical density	6.4	g/cm³